{"formula": "Zn2CoAs", "functional": "PBE-GGA", "state": "optimized geometry", "lattice": [[2.905, 0.000, 0.000], [-1.453, 2.516, 0.000], [0.000, 0.000, 24.760]], "species": ["Zn", "Zn", "Zn", "Zn", "Zn", "Zn", "Co", "Co", "Co", "As", "As", "As"], "frac_coords": [[0.000, 0.000, 0.242], [0.000, 0.000, 0.758], [0.333, 0.667, 0.424], [0.333, 0.667, 0.909], [0.667, 0.333, 0.091], [0.667, 0.333, 0.576], [0.000, 0.000, 0.500], [0.333, 0.667, 0.167], [0.667, 0.333, 0.833], [0.000, 0.000, 0.000], [0.333, 0.667, 0.667], [0.667, 0.333, 0.333]], "space_group": "R-3m, No. 166", "ef_kj_per_mol_atoms": 20}



{"formula": "RbPOs3", "functional": "PBE-GGA", "state": "optimized geometry", "lattice": [[4.555, 0.000, 0.000], [0.000, 4.555, 0.000], [0.000, 0.000, 4.555]], "species": ["Rb", "P", "Os", "Os", "Os"], "frac_coords": [[0.000, 0.000, 0.000], [0.500, 0.500, 0.500], [0.000, 0.500, 0.500], [0.500, 0.000, 0.500], [0.500, 0.500, 0.000]], "space_group": "Pm-3m, No. 221", "ef_kj_per_mol_atoms": 136}



{"formula": "KGeAsO6", "functional": "PBE-GGA", "state": "optimized geometry", "lattice": [[4.991, 0.000, 0.000], [-2.496, 4.323, 0.000], [0.000, 0.000, 6.177]], "species": ["K", "Ge", "As", "O", "O", "O", "O", "O", "O"], "frac_coords": [[0.000, 0.000, 0.000], [0.667, 0.333, 0.500], [0.333, 0.667, 0.500], [0.011, 0.375, 0.668], [0.011, 0.635, 0.332], [0.365, 0.375, 0.332], [0.365, 0.989, 0.668], [0.625, 0.635, 0.668], [0.625, 0.989, 0.332]], "space_group": "P312, No. 149", "formation_energy_uncorrected_ev_per_atom": -1.117}



{"formula": "CaTaTe2", "functional": "PBE-GGA", "state": "optimized geometry", "lattice": [[7.915, 0.000, 0.000], [0.000, 3.980, 0.000], [-2.026, 0.000, 6.776]], "species": ["Ca", "Ca", "Ta", "Ta", "Te", "Te", "Te", "Te"], "frac_coords": [[0.000, 0.000, 0.000], [0.500, 0.500, 0.000], [0.000, 0.500, 0.500], [0.500, 0.000, 0.500], [0.241, 0.000, 0.716], [0.259, 0.500, 0.284], [0.741, 0.500, 0.716], [0.759, 0.000, 0.284]], "space_group": "C2/m, No. 12", "formation_energy_uncorrected_ev_per_atom": -0.436}



{"formula": "NaCaScPd2", "functional": "PBE-GGA", "state": "optimized geometry", "lattice": [[4.907, 0.000, 0.000], [0.000, 4.907, 0.000], [0.000, 0.000, 5.311]], "species": ["Na", "Ca", "Sc", "Pd", "Pd"], "frac_coords": [[0.000, 0.000, 0.000], [0.500, 0.500, 0.000], [0.000, 0.000, 0.500], [0.000, 0.500, 0.500], [0.500, 0.000, 0.500]], "space_group": "P4/mmm, No. 123", "ef_kj_per_mol_atoms": 6}



{"formula": "Ba2MgGe2", "functional": "PBE-GGA", "state": "optimized geometry", "lattice": [[6.444, -3.327, 0.000], [6.444, 3.327, 0.000], [-6.060, 0.000, 8.091]], "species": ["Ba", "Ba", "Ba", "Ba", "Mg", "Mg", "Ge", "Ge", "Ge", "Ge"], "frac_coords": [[0.101, 0.101, 0.371], [0.327, 0.327, 0.940], [0.673, 0.673, 0.060], [0.899, 0.899, 0.629], [0.361, 0.361, 0.342], [0.639, 0.639, 0.658], [0.111, 0.111, 0.038], [0.430, 0.430, 0.657], [0.570, 0.570, 0.343], [0.889, 0.889, 0.962]], "space_group": "C2/m, No. 12", "ef_kj_per_mol_atoms": -36}



{"formula": "BaLi3Ag4F12", "functional": "PBE-GGA", "state": "optimized geometry", "lattice": [[-4.151, 4.151, 4.151], [4.151, -4.151, 4.151], [4.151, 4.151, -4.151]], "species": ["Ba", "Li", "Li", "Li", "Ag", "Ag", "Ag", "Ag", "F", "F", "F", "F", "F", "F", "F", "F", "F", "F", "F", "F"], "frac_coords": [[0.000, 0.000, 0.000], [0.000, 0.500, 0.500], [0.500, 0.000, 0.500], [0.500, 0.500, 0.000], [0.000, 0.000, 0.500], [0.000, 0.500, 0.000], [0.500, 0.000, 0.000], [0.500, 0.500, 0.500], [0.152, 0.313, 0.839], [0.161, 0.474, 0.313], [0.161, 0.848, 0.687], [0.313, 0.161, 0.474], [0.313, 0.839, 0.152], [0.474, 0.313, 0.161], [0.526, 0.687, 0.839], [0.687, 0.161, 0.848], [0.687, 0.839, 0.526], [0.839, 0.152, 0.313], [0.839, 0.526, 0.687], [0.848, 0.687, 0.161]], "space_group": "Im-3, No. 204", "formation_energy_uncorrected_ev_per_atom": -2.024}



{"formula": "PmYTe2", "functional": "PBE-GGA", "state": "optimized geometry", "lattice": [[4.412, 0.000, 0.000], [-2.206, 3.821, 0.000], [0.000, 0.000, 21.674]], "species": ["Pm", "Pm", "Pm", "Y", "Y", "Y", "Te", "Te", "Te", "Te", "Te", "Te"], "frac_coords": [[0.000, 0.000, 0.000], [0.333, 0.667, 0.667], [0.667, 0.333, 0.333], [0.000, 0.000, 0.500], [0.333, 0.667, 0.167], [0.667, 0.333, 0.833], [0.000, 0.000, 0.247], [0.000, 0.000, 0.753], [0.333, 0.667, 0.420], [0.333, 0.667, 0.914], [0.667, 0.333, 0.086], [0.667, 0.333, 0.580]], "space_group": "R-3m, No. 166", "formation_energy_uncorrected_ev_per_atom": -1.361}



{"formula": "CsBiF2", "functional": "PBE-GGA", "state": "optimized geometry", "lattice": [[3.897, 0.000, 0.000], [-1.948, 3.375, 0.000], [0.000, 0.000, 24.883]], "species": ["Cs", "Cs", "Cs", "Bi", "Bi", "Bi", "F", "F", "F", "F", "F", "F"], "frac_coords": [[0.000, 0.000, 0.000], [0.333, 0.667, 0.667], [0.667, 0.333, 0.333], [0.000, 0.000, 0.500], [0.333, 0.667, 0.167], [0.667, 0.333, 0.833], [0.000, 0.000, 0.408], [0.000, 0.000, 0.592], [0.333, 0.667, 0.074], [0.333, 0.667, 0.259], [0.667, 0.333, 0.741], [0.667, 0.333, 0.926]], "space_group": "R-3m, No. 166", "formation_energy_uncorrected_ev_per_atom": -1.995}



{"formula": "CaThSb2", "functional": "PBE-GGA", "state": "optimized geometry", "lattice": [[4.522, 0.000, 0.000], [-2.261, 3.916, 0.000], [0.000, 0.000, 22.860]], "species": ["Ca", "Ca", "Ca", "Th", "Th", "Th", "Sb", "Sb", "Sb", "Sb", "Sb", "Sb"], "frac_coords": [[0.000, 0.000, 0.000], [0.333, 0.667, 0.667], [0.667, 0.333, 0.333], [0.000, 0.000, 0.171], [0.333, 0.667, 0.838], [0.667, 0.333, 0.504], [0.000, 0.000, 0.583], [0.000, 0.000, 0.756], [0.333, 0.667, 0.250], [0.333, 0.667, 0.423], [0.667, 0.333, 0.090], [0.667, 0.333, 0.917]], "space_group": "R3m, No. 160", "formation_energy_uncorrected_ev_per_atom": -0.916}



{"formula": "Ac2PuAl4Au3", "functional": "PBE-GGA", "state": "optimized geometry", "lattice": [[4.534, 0.000, 0.000], [0.000, 4.534, 0.000], [0.000, 0.000, 11.510]], "species": ["Ac", "Ac", "Pu", "Al", "Al", "Al", "Al", "Au", "Au", "Au"], "frac_coords": [[0.000, 0.500, 0.242], [0.500, 0.000, 0.758], [0.000, 0.000, 0.500], [0.000, 0.000, 0.000], [0.000, 0.500, 0.662], [0.500, 0.000, 0.338], [0.500, 0.500, 0.000], [0.000, 0.500, 0.883], [0.500, 0.000, 0.117], [0.500, 0.500, 0.500]], "space_group": "P-4m2, No. 115", "ef_kj_per_mol_atoms": -48}



{"formula": "TaBe2Pd", "functional": "PBE-GGA", "state": "optimized geometry", "lattice": [[2.830, 0.000, 0.000], [0.000, 2.830, 0.000], [0.000, 0.000, 6.182]], "species": ["Ta", "Be", "Be", "Pd"], "frac_coords": [[0.000, 0.000, 0.000], [0.500, 0.500, 0.282], [0.500, 0.500, 0.718], [0.000, 0.000, 0.500]], "space_group": "P4/mmm, No. 123", "ef_kj_per_mol_atoms": -28}



What are the electronic total energy values for these records? In order: -3.37 -6.61 -5.57 -5.47 -3.94 -3.31 -4.10 -5.74 -4.11 -5.33 -5.23 -6.41 eV per atom.